A.
Here is a geometry-optimized ZrSbTe4 structure from the Alexandria database. Energies are from PBE.

```
6
Lattice="0.000 4.396 4.396 4.396 0.000 4.396 4.396 4.396 0.000" Properties=species:S:1:pos:R:3 pbc="T T T"
Te 5.488 3.305 5.488
Te 5.488 5.488 3.305
Te 3.305 3.305 3.305
Te 3.305 5.488 5.488
Sb 0.000 0.000 0.000
Zr 6.594 6.594 6.594
```

total magnetic moment	0.003	μB per cell

---

B.
Here is a geometry-optimized ZrSbTe4 structure from the Alexandria database. Energies are from PBE.

```
6
Lattice="3.855 0.001 0.896 -0.646 6.934 2.775 0.182 0.928 7.899" Properties=species:S:1:pos:R:3 pbc="T T T"
Te 0.331 3.906 7.256
Te 1.962 7.238 8.979
Zr 1.604 3.467 1.836
Sb 0.000 0.000 0.000
Te 3.060 3.956 4.314
Te 1.429 0.625 2.591
```

total magnetic moment	0.000	μB per cell

---

Last place for stability: A